{"formula": "ThTePt", "functional": "PBE-GGA", "state": "relaxed", "lattice_angstrom": [[4.195, 0.000, 0.000], [0.000, 4.195, 0.000], [0.000, 0.000, 9.021]], "species": ["Th", "Th", "Te", "Te", "Pt", "Pt"], "fractional_positions": [[0.500, 0.000, 0.731], [0.000, 0.500, 0.269], [0.500, 0.000, 0.124], [0.000, 0.500, 0.876], [0.000, 0.000, 0.500], [0.500, 0.500, 0.500]], "m_tot_mub_per_fu": 0.0, "formation_energy_uncorrected_ev_per_atom": -1.20, "dos_ef_per_ev_fu": 0.86, "space_group": "P4/nmm, No. 129", "crystal_system": "tetragonal"}